# CaFeOF2

A relaxed CaFeOF2 crystal (PBE with a Hubbard U, the Alexandria database).

POSCAR file:
```
CaFeOF2
1.0
4.1889 0.0000 0.0000
0.0000 4.1889 0.0000
0.0000 0.0000 4.6183
Ca Fe O F
1 1 1 2
Direct
0.0000 0.0000 0.0000
0.5000 0.5000 0.5000
0.0000 0.0000 0.5000
0.0000 0.5000 0.0000
0.5000 0.0000 0.0000
```

Electronic total energy: -5.1492 eV per atom
N(E_F): 0.3 states/eV/f.u.
E above lowest polymorph: 603.6 meV per atom